No. 1
Compound: LaCd2W
Source: the Alexandria database
Functional: PBE-GGA
Structure: optimized geometry

Calculated values
* M_tot: 0.63 μB per atom
* energy relative to the lowest polymorph listed for this composition: 311 meV per atom
* energy of formation from the pure elements: 0.694 eV per atom
* space-group type: No. 216
* raw total energy: -0.1556 Ha/atom

```
LaCd2W
1.0
-2.204 -3.292 3.258
-0.460 -4.947 -1.272
2.845 -3.537 2.388
Cd W La
2 1 1
Direct
0.750 0.750 0.750
0.000 0.000 0.000
0.250 0.250 0.250
0.500 0.500 0.500
```

***

No. 2
Compound: LaCd3W
Source: the Alexandria database
Functional: PBE-GGA
Structure: optimized geometry

Calculated values
* M_tot: 0.00 μB per atom
* energy relative to the lowest polymorph listed for this composition: 0 meV per atom
* energy of formation from the pure elements: 0.666 eV per atom
* space-group type: No. 221
* raw total energy: -0.1271 Ha/atom

```
LaCd3W
1.0
-1.013 -4.830 -1.749
4.261 0.206 -3.035
2.869 -2.011 3.891
W La Cd
1 1 3
Direct
0.000 0.000 0.000
0.500 0.500 0.500
0.000 0.500 0.000
0.500 0.000 0.000
0.000 0.000 0.500
```

***

No. 3
Compound: LaCdW2
Source: the Alexandria database
Functional: PBE-GGA
Structure: optimized geometry

Calculated values
* M_tot: 0.15 μB per atom
* energy of formation from the pure elements: 0.695 eV per atom
* space-group type: No. 160
* raw total energy: -0.2662 Ha/atom

```
LaCdW2
1.0
-6.590 -7.063 -5.445
-7.407 -7.791 -2.720
-8.697 -5.534 -4.086
W La Cd
2 1 1
Direct
0.253 0.253 0.253
0.991 0.991 0.991
0.747 0.747 0.747
0.509 0.509 0.509
```

***

No. 4
Compound: LaCd2W
Source: the Alexandria database
Functional: PBE-GGA
Structure: optimized geometry

Calculated values
* M_tot: 0.18 μB per atom
* energy relative to the lowest polymorph listed for this composition: 107 meV per atom
* energy of formation from the pure elements: 0.490 eV per atom
* space-group type: No. 166
* raw total energy: -0.1631 Ha/atom

```
LaCd2W
1.0
11.064 -0.024 -0.014
10.653 2.990 -0.014
10.653 1.454 2.612
La Cd W
1 2 1
Direct
0.250 0.250 0.250
0.491 0.491 0.491
0.009 0.009 0.009
0.750 0.750 0.750
```

***

No. 5
Compound: LaCdW2
Source: the Alexandria database
Functional: PBE-GGA
Structure: optimized geometry

Calculated values
* M_tot: 0.00 μB per atom
* energy of formation from the pure elements: 0.942 eV per atom
* space-group type: No. 65
* raw total energy: -0.2571 Ha/atom

```
LaCdW2
1.0
5.762 -0.013 0.000
-2.630 5.126 0.000
0.000 0.000 2.791
La W Cd
1 2 1
Direct
0.000 0.500 0.500
0.000 0.000 0.000
0.500 0.500 0.000
0.500 0.000 0.500
```

***

No. 6
Compound: LaCdW3
Source: the Alexandria database
Functional: PBE-GGA
Structure: optimized geometry

Calculated values
* M_tot: 0.00 μB per atom
* energy relative to the lowest polymorph listed for this composition: 0 meV per atom
* energy of formation from the pure elements: 2.414 eV per atom
* space-group type: No. 221
* raw total energy: -0.2398 Ha/atom

```
LaCdW3
1.0
4.986 0.000 0.000
0.000 4.986 0.000
0.000 0.000 4.986
Cd W La
1 3 1
Direct
0.000 0.000 0.000
0.500 0.000 0.000
0.000 0.500 0.000
0.000 0.000 0.500
0.500 0.500 0.500
```

***

No. 7
Compound: LaCdW2
Source: the Alexandria database
Functional: PBE-GGA
Structure: optimized geometry

Calculated values
* M_tot: 0.00 μB per atom
* energy of formation from the pure elements: 0.658 eV per atom
* space-group type: No. 44
* raw total energy: -0.2675 Ha/atom

```
LaCdW2
1.0
-3.238 4.996 -0.724
-4.654 0.954 3.660
5.917 -0.839 -0.498
W La Cd
2 1 1
Direct
0.785 0.285 0.500
0.961 0.961 0.000
0.234 0.734 0.500
0.519 0.519 0.000
```

***

No. 8
Compound: LaCd2W
Source: the Alexandria database
Functional: PBE-GGA
Structure: optimized geometry

Calculated values
* M_tot: 0.00 μB per atom
* energy relative to the lowest polymorph listed for this composition: 0 meV per atom
* energy of formation from the pure elements: 0.384 eV per atom
* space-group type: No. 123
* raw total energy: -0.1670 Ha/atom

```
LaCd2W
1.0
2.936 0.004 0.000
-0.004 2.936 0.000
0.000 0.000 10.013
Cd W La
2 1 1
Direct
0.000 0.000 0.529
0.000 0.000 0.971
0.500 0.500 0.750
0.500 0.500 0.250
```

***

No. 9
Compound: LaCdW2
Source: the Alexandria database
Functional: PBE-GGA
Structure: optimized geometry

Calculated values
* M_tot: 0.14 μB per atom
* energy of formation from the pure elements: 0.932 eV per atom
* space-group type: No. 166
* raw total energy: -0.2574 Ha/atom

```
LaCdW2
1.0
-9.382 -4.634 3.283
-7.562 -6.786 4.127
-8.066 -4.502 5.911
La Cd W
1 1 2
Direct
0.750 0.750 0.750
0.250 0.250 0.250
0.993 0.993 0.993
0.507 0.507 0.507
```

***

No. 10
Compound: LaCdW
Source: the Alexandria database
Functional: PBE-GGA
Structure: optimized geometry

Calculated values
* M_tot: 1.00 μB per atom
* energy relative to the lowest polymorph listed for this composition: 482 meV per atom
* energy of formation from the pure elements: 1.026 eV per atom
* space-group type: No. 216
* raw total energy: -0.1926 Ha/atom

```
LaCdW
1.0
4.928 0.000 0.000
2.464 4.268 0.000
2.464 1.423 4.024
La Cd W
1 1 1
Direct
0.500 0.500 0.500
0.000 0.000 0.000
0.750 0.750 0.750
```

***

No. 11
Compound: LaCd2W
Source: the Alexandria database
Functional: PBE-GGA
Structure: optimized geometry

Calculated values
* M_tot: 0.00 μB per atom
* energy relative to the lowest polymorph listed for this composition: 42 meV per atom
* energy of formation from the pure elements: 0.426 eV per atom
* space-group type: No. 47
* raw total energy: -0.1654 Ha/atom

```
LaCd2W
1.0
-2.947 0.479 -0.167
-0.490 -1.389 4.664
0.820 5.656 1.771
W Cd La
1 2 1
Direct
0.500 0.500 0.750
0.000 0.000 0.522
0.000 0.000 0.978
0.500 0.500 0.250
```

***

No. 12
Compound: LaCdW2
Source: the Alexandria database
Functional: PBE-GGA
Structure: optimized geometry

Calculated values
* M_tot: 0.00 μB per atom
* energy of formation from the pure elements: 0.612 eV per atom
* space-group type: No. 8
* raw total energy: -0.2692 Ha/atom

```
LaCdW2
1.0
4.551 0.004 0.001
3.494 2.916 0.001
0.867 0.315 7.025
Cd La W
1 1 2
Direct
0.489 0.489 0.556
0.251 0.251 0.221
0.013 0.013 0.930
0.746 0.746 0.793
```

***

- The highest raw total energy belongs to which entry?
  LaCd3W

***

- What is the raw total energy in the third record?
  -0.2662 Ha/atom

***

- Look up the raw total energy of the eleventh one.
  -0.1654 Ha/atom